1.
An optimized crystal structure of BaSrLiSn. Source: Alexandria via LeMat-Bulk, functional GGA-PBE.

a = 8.3047 Å, b = 8.3047 Å, c = 8.3047 Å
α = 90.00°, β = 90.00°, γ = 90.00°
Sites, in units of the cell vectors:
Ba1 0.0000 0.0000 0.0000
Ba2 0.0000 0.5000 0.5000
Ba3 0.5000 0.0000 0.5000
Ba4 0.5000 0.5000 0.0000
Sr1 0.0000 0.0000 0.5000
Sr2 0.0000 0.5000 0.0000
Sr3 0.5000 0.0000 0.0000
Sr4 0.5000 0.5000 0.5000
Li1 0.2500 0.2500 0.7500
Li2 0.2500 0.7500 0.2500
Li3 0.7500 0.2500 0.2500
Li4 0.7500 0.7500 0.7500
Sn1 0.2500 0.2500 0.2500
Sn2 0.2500 0.7500 0.7500
Sn3 0.7500 0.2500 0.7500
Sn4 0.7500 0.7500 0.2500

Output
ΔE_f: -0.411 eV per atom
spin magnetization: 0.00 μB per formula unit
space group: F-43m

---

2.
An optimized crystal structure of PrZn5Ni2Ir. Source: Alexandria via LeMat-Bulk, functional GGA-PBE.

a = 4.6494 Å, b = 4.6494 Å, c = 6.9649 Å
α = 90.00°, β = 90.00°, γ = 90.00°
Sites, in units of the cell vectors:
Pr1 0.0000 0.0000 0.0000
Zn1 0.0000 0.5000 0.3095
Zn2 0.0000 0.5000 0.6905
Zn3 0.5000 0.0000 0.3095
Zn4 0.5000 0.0000 0.6905
Zn5 0.5000 0.5000 0.0000
Ni1 0.5000 0.5000 0.3330
Ni2 0.5000 0.5000 0.6670
Ir1 0.0000 0.0000 0.5000

Output
ΔE_f: -0.085 eV per atom
spin magnetization: 0.00 μB per formula unit
space group: P4/mmm

---

3.
An optimized crystal structure of BaAcGa. Source: Alexandria via LeMat-Bulk, functional GGA-PBE.

a = 5.5571 Å, b = 5.5571 Å, c = 4.2254 Å
α = 90.00°, β = 90.00°, γ = 120.00°
Sites, in units of the cell vectors:
Ba1 0.0000 0.0000 0.0000
Ac1 0.6667 0.3333 0.5518
Ga1 0.3333 0.6667 0.3737

Output
ΔE_f: -0.106 eV per atom
spin magnetization: 0.00 μB per formula unit
space group: P3m1

---

4.
An optimized crystal structure of Ac7Bi5Sb. Source: Alexandria via LeMat-Bulk, functional GGA-PBE.

a = 8.3207 Å, b = 8.3207 Å, c = 28.3533 Å
α = 90.05°, β = 90.05°, γ = 33.61°
Sites, in units of the cell vectors:
Ac1 0.0000 0.0000 0.0000
Ac2 0.0013 0.0013 0.1391
Ac3 0.0990 0.0990 0.7108
Ac4 0.1024 0.1024 0.4273
Ac5 0.2737 0.2737 0.9274
Ac6 0.2760 0.2760 0.2109
Ac7 0.3738 0.3738 0.6393
Ac8 0.3761 0.3761 0.5002
Ac9 0.5492 0.5492 0.8553
Ac10 0.5512 0.5512 0.2836
Ac11 0.6383 0.6383 0.5693
Ac12 0.7372 0.7372 0.0694
Ac13 0.8242 0.8242 0.7836
Ac14 0.8266 0.8266 0.3553
Bi1 0.1865 0.1865 0.8192
Bi2 0.1891 0.1891 0.3192
Bi3 0.4610 0.4610 0.7451
Bi4 0.4634 0.4634 0.3942
Bi5 0.6370 0.6370 0.9662
Bi6 0.6385 0.6385 0.1729
Bi7 0.7365 0.7365 0.6729
Bi8 0.7391 0.7391 0.4663
Bi9 0.9124 0.9124 0.8941
Bi10 0.9143 0.9143 0.2450
Sb1 0.3873 0.3873 0.0700
Sb2 0.9883 0.9883 0.5709

Output
spin magnetization: 0.95 μB per formula unit
calculated total energy: -4.912 eV per atom
space group: Cm

---

5.
An optimized crystal structure of FeSiTe4. Source: Alexandria via LeMat-Bulk, functional GGA-PBE.

a = 6.2305 Å, b = 6.2305 Å, c = 6.2305 Å
α = 60.00°, β = 60.00°, γ = 60.00°
Sites, in units of the cell vectors:
Fe1 0.0000 0.0000 0.0000
Si1 0.7500 0.7500 0.7500
Te1 0.3749 0.3749 0.3749
Te2 0.3749 0.3749 0.8754
Te3 0.3749 0.8754 0.3749
Te4 0.8754 0.3749 0.3749

Output
spin magnetization: 3.55 μB per formula unit
calculated total energy: -3.301 eV per atom
space group: F-43m

---

6.
An optimized crystal structure of CaAc6Sm. Source: Alexandria via LeMat-Bulk, functional GGA-PBE.

a = 5.5682 Å, b = 5.5682 Å, c = 11.1054 Å
α = 90.00°, β = 90.00°, γ = 90.00°
Sites, in units of the cell vectors:
Ca1 0.0000 0.0000 0.0000
Ac1 0.0000 0.5000 0.2560
Ac2 0.0000 0.5000 0.7440
Ac3 0.5000 0.0000 0.2560
Ac4 0.5000 0.0000 0.7440
Ac5 0.5000 0.5000 0.0000
Ac6 0.5000 0.5000 0.5000
Sm1 0.0000 0.0000 0.5000

Output
ΔE_f: 0.023 eV per atom
spin magnetization: 0.00 μB per formula unit
space group: P4/mmm

---

> Which value of spin magnetization does entry 6 give?

0.00 μB per formula unit